Entry 1:
# PBE Rb2AgPtF6, relaxed
# final energy = -0.1472 Ha/atom
# E_form (uncorrected) = -1.80 eV/atom
# energy above the lowest structure with this stoichiometry = 0.47 eV per formula unit
data_Rb2AgPtF6
_chemical_formula_sum 'Rb12 Ag6 Pt6 F36'
_cell_length_a 6.3384
_cell_length_b 6.3384
_cell_length_c 32.1922
_cell_angle_alpha 90.00
_cell_angle_beta 90.00
_cell_angle_gamma 120.00
_space_group_name_H-M_alt 'R -3 m'
_space_group_IT_number 166
_space_group_name_Hall '-R 3 2"'
loop_
_atom_site_label
_atom_site_type_symbol
_atom_site_fract_x
_atom_site_fract_y
_atom_site_fract_z
Rb1 Rb 0.0000 0.0000 0.1358
Rb2 Rb 0.0000 0.0000 0.2760
Ag1 Ag 0.0000 0.0000 0.4078
Pt1 Pt 0.0000 0.0000 0.0000
Pt2 Pt 0.0000 0.0000 0.5000
F1 F 0.0067 0.5033 0.1268
F2 F 0.0307 0.5153 0.7032

=====

Entry 2:
# PBE BSbRu2, relaxed
# final energy = -0.2555 Ha/atom
# E_form (uncorrected) = 0.39 eV/atom
# energy above the lowest structure with this stoichiometry = 0.00 eV per formula unit
data_BSbRu2
_chemical_formula_sum 'B4 Sb4 Ru8'
_cell_length_a 5.429
_cell_length_b 5.429
_cell_length_c 9.580
_cell_angle_alpha 90.00
_cell_angle_beta 90.00
_cell_angle_gamma 90.00
_space_group_name_H-M_alt 'I -4 2 d'
_space_group_IT_number 122
_space_group_name_Hall 'I -4 2bw'
loop_
_atom_site_label
_atom_site_type_symbol
_atom_site_fract_x
_atom_site_fract_y
_atom_site_fract_z
B1 B 0.000 0.000 0.000
Sb1 Sb 0.000 0.000 0.500
Ru1 Ru 0.160 0.250 0.125

=====

Entry 3:
# PBE Cs2CaZnI6, relaxed
# final energy = -0.0970 Ha/atom
# E_form (uncorrected) = -1.21 eV/atom
data_Cs2CaZnI6
_chemical_formula_sum 'Cs8 Ca4 Zn4 I24'
_cell_length_a 12.020
_cell_length_b 12.020
_cell_length_c 12.020
_cell_angle_alpha 90.00
_cell_angle_beta 90.00
_cell_angle_gamma 90.00
_space_group_name_H-M_alt 'F m -3 m'
_space_group_IT_number 225
_space_group_name_Hall '-F 4 2 3'
loop_
_atom_site_label
_atom_site_type_symbol
_atom_site_fract_x
_atom_site_fract_y
_atom_site_fract_z
Cs1 Cs 0.250 0.250 0.250
Ca1 Ca 0.000 0.000 0.000
Zn1 Zn 0.000 0.000 0.500
I1 I 0.000 0.000 0.260

=====

Entry 4:
# PBE GdDyYIn, relaxed
# energy of formation = -0.155 eV/atom
# final energy = -0.2619 Ha/atom
# energy above the lowest structure with this stoichiometry = 0.00 eV per formula unit
data_GdDyYIn
_chemical_formula_sum 'Gd4 Dy4 Y4 In4'
_cell_length_a 7.731
_cell_length_b 7.731
_cell_length_c 7.731
_cell_angle_alpha 90.00
_cell_angle_beta 90.00
_cell_angle_gamma 90.00
_space_group_name_H-M_alt 'F -4 3 m'
_space_group_IT_number 216
_space_group_name_Hall 'F -4 2 3'
loop_
_atom_site_label
_atom_site_type_symbol
_atom_site_fract_x
_atom_site_fract_y
_atom_site_fract_z
Gd1 Gd 0.000 0.000 0.000
Dy1 Dy 0.250 0.250 0.750
Y1 Y 0.000 0.000 0.500
In1 In 0.250 0.250 0.250

=====

Entry 5:
# PBE Np6TeSe12, relaxed
# final energy = -0.2682 Ha/atom
# E_form (uncorrected) = -0.84 eV/atom
data_Np6TeSe12
_chemical_formula_sum 'Np18 Te3 Se36'
_cell_length_a 13.1241
_cell_length_b 13.1241
_cell_length_c 10.3941
_cell_angle_alpha 90.00
_cell_angle_beta 90.00
_cell_angle_gamma 120.00
_space_group_name_H-M_alt 'R -3 m'
_space_group_IT_number 166
_space_group_name_Hall '-R 3 2"'
loop_
_atom_site_label
_atom_site_type_symbol
_atom_site_fract_x
_atom_site_fract_y
_atom_site_fract_z
Np1 Np 0.0528 0.5264 0.2816
Te1 Te 0.0000 0.0000 0.0000
Se1 Se 0.0000 0.3703 0.5000
Se2 Se 0.0874 0.1747 0.3629

=====

Entry 6:
# PBE YCr2W, relaxed
# energy of formation = 0.725 eV/atom
# final energy = -0.3286 Ha/atom
# energy above the lowest structure with this stoichiometry = 1.39 eV per formula unit
data_YCr2W
_chemical_formula_sum 'Y3 Cr6 W3'
_cell_length_a 3.0518
_cell_length_b 3.0518
_cell_length_c 25.8403
_cell_angle_alpha 90.00
_cell_angle_beta 90.00
_cell_angle_gamma 120.00
_space_group_name_H-M_alt 'R -3 m'
_space_group_IT_number 166
_space_group_name_Hall '-R 3 2"'
loop_
_atom_site_label
_atom_site_type_symbol
_atom_site_fract_x
_atom_site_fract_y
_atom_site_fract_z
Y1 Y 0.0000 0.0000 0.0000
Cr1 Cr 0.0000 0.0000 0.2379
W1 W 0.0000 0.0000 0.5000

=====

Entry 7:
# PBE Cu2Ge2Bi, relaxed
# energy of formation = 0.237 eV/atom
# final energy = -0.1479 Ha/atom
# energy above the lowest structure with this stoichiometry = 0.41 eV per formula unit
data_Cu2Ge2Bi
_chemical_formula_sum 'Cu4 Ge4 Bi2'
_cell_length_a 7.616
_cell_length_b 7.616
_cell_length_c 3.186
_cell_angle_alpha 90.00
_cell_angle_beta 90.00
_cell_angle_gamma 90.00
_space_group_name_H-M_alt 'P 4/m b m'
_space_group_IT_number 127
_space_group_name_Hall '-P 4 2ab'
loop_
_atom_site_label
_atom_site_type_symbol
_atom_site_fract_x
_atom_site_fract_y
_atom_site_fract_z
Cu1 Cu 0.125 0.375 0.000
Ge1 Ge 0.156 0.656 0.500
Bi1 Bi 0.000 0.000 0.000

=====

Entry 8:
# PBE YZrIn2, relaxed
# energy of formation = -0.203 eV/atom
# final energy = -0.1957 Ha/atom
data_YZrIn2
_chemical_formula_sum 'Y3 Zr3 In6'
_cell_length_a 3.4271
_cell_length_b 3.4271
_cell_length_c 30.2696
_cell_angle_alpha 90.00
_cell_angle_beta 90.00
_cell_angle_gamma 120.00
_space_group_name_H-M_alt 'R -3 m'
_space_group_IT_number 166
_space_group_name_Hall '-R 3 2"'
loop_
_atom_site_label
_atom_site_type_symbol
_atom_site_fract_x
_atom_site_fract_y
_atom_site_fract_z
Y1 Y 0.0000 0.0000 0.0000
Zr1 Zr 0.0000 0.0000 0.5000
In1 In 0.0000 0.0000 0.2470

=====

Entry 9:
# PBE Y3Ho7, relaxed
# energy of formation = 0.206 eV/atom
# final energy = -0.1815 Ha/atom
# energy above the lowest structure with this stoichiometry = 1.86 eV per formula unit
data_Y3Ho7
_chemical_formula_sum 'Y6 Ho14'
_cell_length_a 10.8625
_cell_length_b 10.8625
_cell_length_c 6.2778
_cell_angle_alpha 90.00
_cell_angle_beta 90.00
_cell_angle_gamma 120.00
_space_group_name_H-M_alt 'P 63 m c'
_space_group_IT_number 186
_space_group_name_Hall 'P 6c -2c'
loop_
_atom_site_label
_atom_site_type_symbol
_atom_site_fract_x
_atom_site_fract_y
_atom_site_fract_z
Y1 Y 0.2119 0.4238 0.0000
Ho1 Ho 0.0582 0.5291 0.3649
Ho2 Ho 0.1184 0.2367 0.5110
Ho3 Ho 0.3333 0.6667 0.6299

=====

Entry 10:
# PBE Tl2AgAu, relaxed
# energy of formation = 0.029 eV/atom
# final energy = -0.0987 Ha/atom
# energy above the lowest structure with this stoichiometry = 0.00 eV per formula unit
data_Tl2AgAu
_chemical_formula_sum 'Tl2 Ag1 Au1'
_cell_length_a 3.603
_cell_length_b 3.603
_cell_length_c 7.438
_cell_angle_alpha 90.00
_cell_angle_beta 90.00
_cell_angle_gamma 90.00
_space_group_name_H-M_alt 'P 4 m m'
_space_group_IT_number 99
loop_
_space_group_symop_operation_xyz
'x,y,z'
'-y,x,z'
'-x,-y,z'
'y,-x,z'
'-x,y,z'
'y,x,z'
'x,-y,z'
'-y,-x,z'
loop_
_atom_site_label
_atom_site_type_symbol
_atom_site_fract_x
_atom_site_fract_y
_atom_site_fract_z
Tl1 Tl 0.000 0.000 0.000
Tl2 Tl 0.500 0.500 0.329
Ag1 Ag 0.000 0.000 0.575
Au1 Au 0.500 0.500 0.757

=====

Entry 11:
# PBE CdGePS2, relaxed
# final energy = -0.1223 Ha/atom
# E_form (uncorrected) = 0.51 eV/atom
# energy above the lowest structure with this stoichiometry = 0.51 eV per formula unit
data_CdGePS2
_chemical_formula_sum 'Cd1 Ge1 P1 S2'
_cell_length_a 4.749
_cell_length_b 4.749
_cell_length_c 4.781
_cell_angle_alpha 90.00
_cell_angle_beta 90.00
_cell_angle_gamma 90.00
_space_group_name_H-M_alt 'P 4/m m m'
_space_group_IT_number 123
_space_group_name_Hall '-P 4 2'
loop_
_atom_site_label
_atom_site_type_symbol
_atom_site_fract_x
_atom_site_fract_y
_atom_site_fract_z
Cd1 Cd 0.000 0.000 0.000
Ge1 Ge 0.500 0.500 0.500
P1 P 0.500 0.500 0.000
S1 S 0.000 0.500 0.500

=====

Entry 12:
# PBE DyAl2Ni, relaxed
# energy of formation = -0.501 eV/atom
# final energy = -0.1826 Ha/atom
data_DyAl2Ni
_chemical_formula_sum 'Dy3 Al6 Ni3'
_cell_length_a 4.1044
_cell_length_b 4.1044
_cell_length_c 15.4436
_cell_angle_alpha 90.00
_cell_angle_beta 90.00
_cell_angle_gamma 120.00
_space_group_name_H-M_alt 'R -3 m'
_space_group_IT_number 166
_space_group_name_Hall '-R 3 2"'
loop_
_atom_site_label
_atom_site_type_symbol
_atom_site_fract_x
_atom_site_fract_y
_atom_site_fract_z
Dy1 Dy 0.0000 0.0000 0.0000
Al1 Al 0.0000 0.0000 0.2074
Ni1 Ni 0.0000 0.0000 0.5000